Record 1
BaMg2Al | GGA-PBE | optimized geometry

```
4
Lattice="4.909 -0.276 0.175 2.692 4.115 0.175 2.297 1.160 6.278" Properties=species:S:1:pos:R:3 pbc="T T T"
Mg 2.331 1.177 5.421
Mg 7.435 3.755 4.625
Al 4.907 2.478 4.379
Ba 2.470 1.247 1.795
```

Results
- electronic total energy (eV/atom) = -2.250
- volume (Å³ per cell) = 129.24
- DOS at the Fermi energy (states/eV/cell) = 3.412

Record 2
Zr2Zn2Sb | GGA-PBE | optimized geometry

```
10
Lattice="-6.141 -2.907 -2.933 -2.046 -2.422 6.687 -1.931 3.423 0.649" Properties=species:S:1:pos:R:3 pbc="T T T"
Zr -4.340 -2.280 -0.884
Zr -3.847 -3.049 4.638
Zr -6.529 -4.043 1.903
Zr -1.658 -1.286 1.852
Zn -6.651 -2.232 4.208
Zn -3.467 0.325 0.195
Zn -6.992 -1.666 0.214
Zn -3.126 -0.240 4.190
Sb -4.094 -2.665 1.877
Sb 0.000 0.000 0.000
```

Results
- formation energy without anion corrections (eV per atom) = -0.14
- relative energy among the computed polymorphs (meV per atom) = 153
- electronic total energy (eV/atom) = -4.894
- volume (Å³ per cell) = 218.15
- DOS at the Fermi energy (states/eV/cell) = 9.508

Record 3
SmBiRh5 | GGA-PBE | optimized geometry

```
28
Lattice="5.259 0.000 0.000 0.000 8.742 0.000 0.000 0.000 10.995" Properties=species:S:1:pos:R:3 pbc="T T T"
Rh 3.944 2.706 8.369
Rh 5.257 0.580 7.632
Rh 1.315 6.036 2.626
Rh 1.315 4.019 4.492
Rh 1.315 8.391 1.005
Rh 2.627 3.791 2.135
Rh 3.944 3.686 10.848
Rh 1.315 0.685 5.351
Rh 1.315 1.665 2.871
Rh 3.944 4.723 6.503
Rh 3.944 8.057 5.644
Rh 2.632 0.580 7.632
Rh 5.257 4.951 8.859
Rh 1.315 5.056 0.146
Rh 0.003 8.162 3.362
Rh 2.632 4.951 8.859
Rh 2.627 8.162 3.362
Rh 0.003 3.791 2.135
Rh 3.944 7.078 8.123
Rh 3.944 0.352 9.989
Bi 3.944 1.210 1.528
Bi 3.944 5.581 3.969
Bi 1.315 7.533 9.466
Bi 1.315 3.161 7.026
Sm 3.944 6.554 0.646
Sm 3.944 2.183 4.851
Sm 1.315 6.560 6.143
Sm 1.315 2.189 10.348
```

Results
- electronic total energy (eV/atom) = -6.789
- volume (Å³ per cell) = 505.52
- DOS at the Fermi energy (states/eV/cell) = 27.559

Record 4
B5C | GGA-PBE | optimized geometry

```
12
Lattice="3.828 -0.190 -1.872 2.948 2.449 -1.872 0.248 0.083 7.983" Properties=species:S:1:pos:R:3 pbc="T T T"
B 6.459 2.153 4.079
B 5.653 1.884 -2.221
B 2.510 0.837 3.581
B 3.629 1.210 0.730
B 4.713 1.571 4.404
B 5.029 1.676 -0.265
B 1.763 0.588 5.172
B 1.904 0.635 0.537
B 0.559 0.186 1.529
B 0.579 0.193 3.839
C 6.069 2.023 0.920
C 3.339 1.113 5.123
```

Results
- relative energy among the computed polymorphs (meV per atom) = 125
- electronic total energy (eV/atom) = -6.780
- volume (Å³ per cell) = 80.69
- DOS at the Fermi energy (states/eV/cell) = 2.058

Record 5
Tl2TeAsO6 | GGA-PBE | optimized geometry

```
20
Lattice="5.980 0.000 0.000 2.990 5.179 0.000 2.990 1.726 9.610" Properties=species:S:1:pos:R:3 pbc="T T T"
O 7.245 4.183 6.118
O 4.714 4.183 6.118
O 5.980 1.991 6.118
O 7.245 2.722 3.492
O 5.980 5.071 8.409
O 4.578 4.262 1.201
O 7.382 4.262 1.201
O 7.382 2.643 8.409
O 4.578 2.643 8.409
O 5.980 4.914 3.492
O 5.980 1.833 1.201
O 4.714 2.722 3.492
Te 0.000 0.000 0.000
Te 5.980 3.452 4.805
As 5.980 3.452 7.564
As 5.980 3.452 2.046
Tl 8.970 5.179 3.699
Tl 2.990 1.726 5.911
Tl 8.970 5.179 8.103
Tl 2.990 1.726 1.507
```

Results
- formation energy without anion corrections (eV per atom) = -0.85
- electronic total energy (eV/atom) = -5.080
- volume (Å³ per cell) = 297.59
- DOS at the Fermi energy (states/eV/cell) = 0.587

Record 6
ScAs3N | GGA-PBE | optimized geometry

```
5
Lattice="4.369 0.000 0.000 0.000 4.369 0.000 0.000 0.000 4.369" Properties=species:S:1:pos:R:3 pbc="T T T"
As 0.000 0.000 2.184
As 0.000 2.184 0.000
As 2.184 0.000 0.000
Sc 2.184 2.184 2.184
N 0.000 0.000 0.000
```

Results
- formation energy without anion corrections (eV per atom) = 0.19
- relative energy among the computed polymorphs (meV per atom) = 0
- electronic total energy (eV/atom) = -5.534
- volume (Å³ per cell) = 83.38
- DOS at the Fermi energy (states/eV/cell) = 2.657

Record 7
AcTiSb2 | GGA-PBE | optimized geometry

```
4
Lattice="4.097 0.000 0.000 0.000 5.273 0.000 0.000 0.000 5.273" Properties=species:S:1:pos:R:3 pbc="T T T"
Ti 2.048 2.637 2.637
Ac 2.048 0.000 0.000
Sb 0.000 0.000 2.637
Sb 0.000 2.637 0.000
```

Results
- formation energy without anion corrections (eV per atom) = -0.32
- relative energy among the computed polymorphs (meV per atom) = 374
- electronic total energy (eV/atom) = -5.380
- volume (Å³ per cell) = 113.92
- DOS at the Fermi energy (states/eV/cell) = 3.850

Record 8
PmCdPdPb | GGA-PBE | optimized geometry

```
4
Lattice="5.108 0.000 0.000 2.554 4.423 0.000 2.554 1.474 4.170" Properties=species:S:1:pos:R:3 pbc="T T T"
Pm 5.108 2.949 2.085
Cd 7.661 4.423 3.128
Pb 0.000 0.000 0.000
Pd 2.554 1.474 1.043
```

Results
- electronic total energy (eV/atom) = -4.073
- volume (Å³ per cell) = 94.22
- DOS at the Fermi energy (states/eV/cell) = 2.150